1.
# KTiAg3 PBE relaxed
# crystal system = cubic
# raw total energy = -14.44 eV/f.u.
# energy relative to the lowest polymorph listed for this composition = 0.0000 eV/atom
# calculated formation energy = 0.621 eV per atom
# space group = Pm-3m
data_KTiAg3
_chemical_formula_sum 'K1 Ti1 Ag3'
_cell_length_a 5.2795
_cell_length_b 5.2795
_cell_length_c 5.2795
_cell_angle_alpha 90.00
_cell_angle_beta 90.00
_cell_angle_gamma 90.00
_symmetry_space_group_name_H-M 'P 1'
_symmetry_Int_Tables_number 1
_symmetry_space_group_name_Hall 'P 1'
loop_
_atom_site_label
_atom_site_type_symbol
_atom_site_fract_x
_atom_site_fract_y
_atom_site_fract_z
K1 K 0.5000 0.5000 0.5000
Ag1 Ag 0.0000 0.5000 0.0000
Ag2 Ag 0.0000 0.0000 0.5000
Ag3 Ag 0.5000 0.0000 0.0000
Ti1 Ti 0.0000 0.0000 0.0000

=====

2.
# K3TiAg PBE relaxed
# crystal system = cubic
# raw total energy = -8.88 eV/f.u.
# calculated formation energy = 1.031 eV per atom
# space group = Pm-3m
data_K3TiAg
_chemical_formula_sum 'K3 Ti1 Ag1'
_cell_length_a 6.6132
_cell_length_b 6.6132
_cell_length_c 6.6132
_cell_angle_alpha 90.00
_cell_angle_beta 90.00
_cell_angle_gamma 90.00
_symmetry_space_group_name_H-M 'P 1'
_symmetry_Int_Tables_number 1
_symmetry_space_group_name_Hall 'P 1'
loop_
_atom_site_label
_atom_site_type_symbol
_atom_site_fract_x
_atom_site_fract_y
_atom_site_fract_z
K1 K 0.0000 0.5000 0.0000
K2 K 0.0000 0.0000 0.5000
K3 K 0.5000 0.0000 0.0000
Ag1 Ag 0.5000 0.5000 0.5000
Ti1 Ti 0.0000 0.0000 0.0000

=====

3.
# K2TiAg PBE relaxed
# crystal system = cubic
# raw total energy = -9.26 eV/f.u.
# energy relative to the lowest polymorph listed for this composition = 0.1089 eV/atom
# calculated formation energy = 0.920 eV per atom
# space group = Fm-3m
data_K2TiAg
_chemical_formula_sum 'K2 Ti1 Ag1'
_cell_length_a 5.9649
_cell_length_b 5.9649
_cell_length_c 5.9649
_cell_angle_alpha 60.00
_cell_angle_beta 60.00
_cell_angle_gamma 60.00
_symmetry_space_group_name_H-M 'P 1'
_symmetry_Int_Tables_number 1
_symmetry_space_group_name_Hall 'P 1'
loop_
_atom_site_label
_atom_site_type_symbol
_atom_site_fract_x
_atom_site_fract_y
_atom_site_fract_z
K1 K 0.2500 0.2500 0.2500
K2 K 0.7500 0.7500 0.7500
Ag1 Ag 0.5000 0.5000 0.5000
Ti1 Ti 0.0000 0.0000 0.0000

=====

4.
# KTiAg2 PBE relaxed
# crystal system = cubic
# raw total energy = -12.07 eV/f.u.
# energy relative to the lowest polymorph listed for this composition = 0.0000 eV/atom
# calculated formation energy = 0.657 eV per atom
# space group = Fm-3m
data_KTiAg2
_chemical_formula_sum 'K1 Ti1 Ag2'
_cell_length_a 5.0436
_cell_length_b 5.0436
_cell_length_c 5.0436
_cell_angle_alpha 60.00
_cell_angle_beta 60.00
_cell_angle_gamma 60.00
_symmetry_space_group_name_H-M 'P 1'
_symmetry_Int_Tables_number 1
_symmetry_space_group_name_Hall 'P 1'
loop_
_atom_site_label
_atom_site_type_symbol
_atom_site_fract_x
_atom_site_fract_y
_atom_site_fract_z
K1 K 0.0000 0.0000 0.0000
Ag1 Ag 0.2500 0.2500 0.2500
Ag2 Ag 0.7500 0.7500 0.7500
Ti1 Ti 0.5000 0.5000 0.5000

=====

5.
# K2TiAg PBE relaxed
# crystal system = tetragonal
# raw total energy = -9.70 eV/f.u.
# energy relative to the lowest polymorph listed for this composition = 0.0000 eV/atom
# calculated formation energy = 0.811 eV per atom
# space group = I-42d
data_K2TiAg
_chemical_formula_sum 'K4 Ti2 Ag2'
_cell_length_a 11.8290
_cell_length_b 11.8290
_cell_length_c 8.7855
_cell_angle_alpha 47.68
_cell_angle_beta 47.68
_cell_angle_gamma 90.00
_symmetry_space_group_name_H-M 'P 1'
_symmetry_Int_Tables_number 1
_symmetry_space_group_name_Hall 'P 1'
loop_
_atom_site_label
_atom_site_type_symbol
_atom_site_fract_x
_atom_site_fract_y
_atom_site_fract_z
K1 K 0.7597 0.1250 0.2500
K2 K 0.9903 0.6250 0.2500
K3 K 0.3750 0.2403 0.7500
K4 K 0.8750 0.0097 0.7500
Ag1 Ag 0.0000 0.0000 0.0000
Ag2 Ag 0.7500 0.2500 0.5000
Ti1 Ti 0.5000 0.5000 0.0000
Ti2 Ti 0.2500 0.7500 0.5000

=====

6.
# KTiTl2Ag PBE relaxed
# crystal system = tetragonal
# raw total energy = -13.79 eV/f.u.
# calculated formation energy = 0.557 eV per atom
# space group = P4/mmm
data_KTiTl2Ag
_chemical_formula_sum 'K1 Ti1 Tl2 Ag1'
_cell_length_a 5.5461
_cell_length_b 5.3681
_cell_length_c 5.5461
_cell_angle_alpha 90.00
_cell_angle_beta 90.00
_cell_angle_gamma 90.00
_symmetry_space_group_name_H-M 'P 1'
_symmetry_Int_Tables_number 1
_symmetry_space_group_name_Hall 'P 1'
loop_
_atom_site_label
_atom_site_type_symbol
_atom_site_fract_x
_atom_site_fract_y
_atom_site_fract_z
Tl1 Tl 0.0000 0.0000 0.5000
Tl2 Tl 0.5000 0.0000 0.0000
K1 K 0.5000 0.5000 0.5000
Ag1 Ag 0.0000 0.0000 0.0000
Ti1 Ti 0.0000 0.5000 0.0000